[1]
VASP calculation (PBE-GGA) on an optimized crystal structure of CoAu3.

Its total energy is -4.0463 eV/atom. The calculation puts the spin magnetization at 1.8 μB per formula unit. The calculation puts the density at 16.21 g/cm³. The calculated formation energy is 188.2 meV per atom.

CIF file:
```
data_CoAu3
_chemical_formula_sum 'Co1 Au3'
_space_group_name_H-M_alt 'P -6 m 2'
_space_group_IT_number 187
_space_group_name_Hall 'P -6 2'
_cell_length_a 2.8654
_cell_length_b 2.8654
_cell_length_c 9.3613
_cell_angle_alpha 90.00
_cell_angle_beta 90.00
_cell_angle_gamma 120.00
loop_
_atom_site_label
_atom_site_fract_x
_atom_site_fract_y
_atom_site_fract_z
Co1 0.0000 0.0000 0.0000
Au1 0.0000 0.0000 0.5000
Au2 0.6667 0.3333 0.2280
```

[2]
VASP calculation (PBE-GGA) on an optimized crystal structure of Co2Au.

Its total energy is -5.6013 eV/atom. The calculation puts the spin magnetization at 3.4 μB per formula unit. The calculation puts the density at 12.95 g/cm³. The calculated formation energy is 228.4 meV per atom.

CIF file:
```
data_Co2Au
_chemical_formula_sum 'Co8 Au4'
_space_group_name_H-M_alt 'C m c m'
_space_group_IT_number 63
_space_group_name_Hall '-C 2c 2'
_cell_length_a 2.755
_cell_length_b 13.440
_cell_length_c 4.362
_cell_angle_alpha 90.00
_cell_angle_beta 90.00
_cell_angle_gamma 90.00
loop_
_atom_site_label
_atom_site_fract_x
_atom_site_fract_y
_atom_site_fract_z
Co1 0.000 0.065 0.250
Co2 0.000 0.280 0.750
Au1 0.000 0.392 0.250
```

[3]
VASP calculation (PBE-GGA) on an optimized crystal structure of CoAu.

Its total energy is -4.2477 eV/atom. The calculation puts the spin magnetization at 2.0 μB per formula unit. The calculation puts the density at 7.80 g/cm³. The calculated formation energy is 943.9 meV per atom.

CIF file:
```
data_CoAu
_chemical_formula_sum 'Co8 Au8'
_space_group_name_H-M_alt 'I -4 3 m'
_space_group_IT_number 217
_space_group_name_Hall 'I -4 2 3'
_cell_length_a 7.583
_cell_length_b 7.583
_cell_length_c 7.583
_cell_angle_alpha 90.00
_cell_angle_beta 90.00
_cell_angle_gamma 90.00
loop_
_atom_site_label
_atom_site_fract_x
_atom_site_fract_y
_atom_site_fract_z
Co1 0.110 0.110 0.110
Au1 0.203 0.203 0.797
```

[4]
VASP calculation (PBE-GGA) on an optimized crystal structure of Co3Au5.

Its total energy is -4.4579 eV/atom. The calculation puts the spin magnetization at 5.6 μB per formula unit. The calculation puts the density at 15.35 g/cm³. The calculated formation energy is 255.2 meV per atom.

CIF file:
```
data_Co3Au5
_chemical_formula_sum 'Co6 Au10'
_space_group_name_H-M_alt 'C m m m'
_space_group_IT_number 65
_space_group_name_Hall '-C 2 2'
_cell_length_a 8.104
_cell_length_b 8.130
_cell_length_c 3.814
_cell_angle_alpha 90.00
_cell_angle_beta 90.00
_cell_angle_gamma 90.00
loop_
_atom_site_label
_atom_site_fract_x
_atom_site_fract_y
_atom_site_fract_z
Co1 0.000 0.000 0.000
Co2 0.000 0.226 0.500
Au1 0.000 0.500 0.000
Au2 0.240 0.000 0.500
Au3 0.250 0.250 0.000
```